# 1
Density functional theory data (GGA-PBE) for a geometry-optimized NdTh2Zr4 structure.

## Properties
SG = Cmmm (65)
formation enthalpy at 0 K = 0.252 eV per atom
crystal system = orthorhombic

a = 7.8928 Å, b = 7.8928 Å, c = 3.2870 Å
α = 90.00°, β = 90.00°, γ = 98.77°
With the nearest neighbours (Å) after each atom.
Element x y z (fractional)
1 Nd 0.0000 0.0000 0.0000  2 Nd 3.29
2 Th 0.5000 0.0000 0.5000  6 Zr 3.10-3.22, 2 Th 3.29
3 Th 0.0000 0.5000 0.5000  6 Zr 3.10-3.22, 2 Th 3.29
4 Zr 0.6637 0.3363 0.0000  6 Zr 3.12-3.29, 4 Th 3.22
5 Zr 0.3363 0.6637 0.0000  6 Zr 3.12-3.29, 4 Th 3.22
6 Zr 0.3271 0.3271 0.5000  2 Th 3.10, 6 Zr 3.12-3.29
7 Zr 0.6729 0.6729 0.5000  2 Th 3.10, 6 Zr 3.12-3.29

***

# 2
Density functional theory data (GGA-PBE) for a geometry-optimized Nd5Tl4 structure.

## Properties
total energy = -72.95 eV per cell
SG = P6_3/mcm (193)
crystal system = hexagonal

a = 9.6551 Å, b = 9.6551 Å, c = 6.7809 Å
α = 90.00°, β = 90.00°, γ = 120.00°
With the nearest neighbours (Å) after each atom.
Element x y z (fractional)
1 Nd 0.6667 0.3333 0.0000  2 Nd 3.39, 6 Tl 3.49
2 Nd 0.3333 0.6667 0.0000  2 Nd 3.39, 6 Tl 3.49
3 Nd 0.7087 0.0000 0.2500  7 Tl 3.26-3.48
4 Nd 0.2913 0.2913 0.2500  7 Tl 3.26-3.48
5 Nd 0.0000 0.7087 0.2500  7 Tl 3.26-3.48
6 Nd 0.6667 0.3333 0.5000  2 Nd 3.39, 6 Tl 3.49
7 Nd 0.3333 0.6667 0.5000  2 Nd 3.39, 6 Tl 3.49
8 Nd 0.2913 0.0000 0.7500  7 Tl 3.26-3.48
9 Nd 0.0000 0.2913 0.7500  7 Tl 3.26-3.48
10 Nd 0.7087 0.7087 0.7500  7 Tl 3.26-3.48
11 Tl 0.0000 0.0000 0.0000  6 Nd 3.28, 2 Tl 3.39
12 Tl 0.3703 0.0000 0.2500  9 Nd 3.26-3.49
13 Tl 0.0000 0.3703 0.2500  9 Nd 3.26-3.49
14 Tl 0.6297 0.6297 0.2500  9 Nd 3.26-3.49
15 Tl 0.0000 0.0000 0.5000  6 Nd 3.28, 2 Tl 3.39
16 Tl 0.6297 0.0000 0.7500  9 Nd 3.26-3.49
17 Tl 0.3703 0.3703 0.7500  9 Nd 3.26-3.49
18 Tl 0.0000 0.6297 0.7500  9 Nd 3.26-3.49

***

# 3
Density functional theory data (GGA-PBE) for a geometry-optimized Nd2Tl structure.

## Properties
total energy = -22.81 eV per cell
SG = Fd-3m (227)
crystal system = cubic

a = 6.4568 Å, b = 6.4568 Å, c = 6.4568 Å
α = 60.00°, β = 60.00°, γ = 60.00°
With the nearest neighbours (Å) after each atom.
Element x y z (fractional)
1 Nd 0.6250 0.6250 0.1250  6 Nd 3.23
2 Nd 0.6250 0.1250 0.6250  6 Nd 3.23
3 Nd 0.1250 0.6250 0.6250  6 Nd 3.23
4 Nd 0.6250 0.6250 0.6250  6 Nd 3.23
5 Tl 0.0000 0.0000 0.0000  12 Nd 3.79, 4 Tl 3.95
6 Tl 0.2500 0.2500 0.2500  12 Nd 3.79, 4 Tl 3.95

***

# 4
Density functional theory data (GGA-PBE) for a geometry-optimized Nd3Tl5 structure.

## Properties
total energy = -58.19 eV per cell
SG = Cmcm (63)
crystal system = orthorhombic

a = 6.6137 Å, b = 6.6137 Å, c = 10.6088 Å
α = 90.00°, β = 90.00°, γ = 77.79°
With the nearest neighbours (Å) after each atom.
Element x y z (fractional)
1 Nd 0.2039 0.2039 0.0000  10 Tl 3.27-3.59
2 Nd 0.7961 0.7961 0.0000  10 Tl 3.27-3.59
3 Nd 0.3792 0.6208 0.2500  7 Tl 3.16-3.42
4 Nd 0.2039 0.2039 0.5000  10 Tl 3.27-3.59
5 Nd 0.7961 0.7961 0.5000  10 Tl 3.27-3.59
6 Nd 0.6208 0.3792 0.7500  7 Tl 3.16-3.42
7 Tl 0.6943 0.3057 0.0423  4 Tl 3.16-3.35, 6 Nd 3.16-3.48
8 Tl 0.9933 0.0067 0.2500  5 Nd 3.20-3.38, 6 Tl 3.26-3.40
9 Tl 0.4903 0.0714 0.2500  4 Tl 3.16-3.40, 3 Nd 3.22-3.27
10 Tl 0.9286 0.5097 0.2500  4 Tl 3.16-3.40, 3 Nd 3.22-3.27
11 Tl 0.6943 0.3057 0.4577  4 Tl 3.16-3.35, 6 Nd 3.16-3.48
12 Tl 0.3057 0.6943 0.5423  4 Tl 3.16-3.35, 6 Nd 3.16-3.48
13 Tl 0.0714 0.4903 0.7500  4 Tl 3.16-3.40, 3 Nd 3.22-3.27
14 Tl 0.5097 0.9286 0.7500  4 Tl 3.16-3.40, 3 Nd 3.22-3.27
15 Tl 0.0067 0.9933 0.7500  5 Nd 3.20-3.38, 6 Tl 3.26-3.40
16 Tl 0.3057 0.6943 0.9577  4 Tl 3.16-3.35, 6 Nd 3.16-3.48

***

# 5
Density functional theory data (GGA-PBE) for a geometry-optimized Nd2Tl structure.

## Properties
total energy = -15.29 eV per cell
SG = Fd-3m (227)
crystal system = cubic

a = 9.5952 Å, b = 9.5952 Å, c = 9.5952 Å
α = 60.00°, β = 60.00°, γ = 60.00°
With the nearest neighbours (Å) after each atom.
Element x y z (fractional)
1 Nd 0.3750 0.8750 0.3750  2 Tl 2.94
2 Nd 0.8750 0.3750 0.3750  2 Tl 2.94
3 Nd 0.3750 0.3750 0.3750  2 Tl 2.94
4 Nd 0.3750 0.3750 0.8750  2 Tl 2.94
5 Tl 0.2500 0.2500 0.2500  4 Nd 2.94
6 Tl 0.5000 0.5000 0.5000  4 Nd 2.94

***

# 6
Density functional theory data (GGA-PBE) for a geometry-optimized NdTmTl2 structure.

## Properties
total energy = -15.36 eV per cell
SG = P4/mmm (123)
crystal system = tetragonal

a = 3.8068 Å, b = 3.8068 Å, c = 7.6625 Å
α = 90.00°, β = 90.00°, γ = 90.00°
With the nearest neighbours (Å) after each atom.
Element x y z (fractional)
1 Nd 0.0000 0.0000 0.5000  8 Tl 3.37
2 Tl 0.5000 0.5000 0.2345  4 Tm 3.24, 4 Nd 3.37, 1 Tl 3.59
3 Tl 0.5000 0.5000 0.7655  4 Tm 3.24, 4 Nd 3.37, 1 Tl 3.59
4 Tm 0.0000 0.0000 0.0000  8 Tl 3.24

***

# 7
Density functional theory data (GGA-PBE) for a geometry-optimized NdYTl2 structure.

## Properties
total energy = -17.51 eV per cell
SG = P4/mmm (123)
crystal system = tetragonal

a = 3.8361 Å, b = 3.8361 Å, c = 7.6759 Å
α = 90.00°, β = 90.00°, γ = 90.00°
With the nearest neighbours (Å) after each atom.
Element x y z (fractional)
1 Nd 0.5000 0.5000 0.5000  8 Tl 3.37
2 Tl 0.0000 0.0000 0.2391  4 Y 3.27, 4 Nd 3.37
3 Tl 0.0000 0.0000 0.7609  4 Y 3.27, 4 Nd 3.37
4 Y 0.5000 0.5000 0.0000  8 Tl 3.27

***

# 8
Density functional theory data (GGA-PBE) for a geometry-optimized NdYTl structure.

## Properties
energy above the lowest structure with this stoichiometry = 0.0000 eV per atom
SG = F-43m (216)
crystal system = cubic

a = 5.2500 Å, b = 5.2500 Å, c = 5.2500 Å
α = 60.00°, β = 60.00°, γ = 60.00°
With the nearest neighbours (Å) after each atom.
Element x y z (fractional)
1 Nd 0.2500 0.2500 0.2500  4 Tl 3.21
2 Tl 0.0000 0.0000 0.0000  4 Nd 3.21, 4 Y 3.21
3 Y 0.7500 0.7500 0.7500  4 Tl 3.21

***

# 9
Density functional theory data (GGA-PBE) for a geometry-optimized NdTlZn structure.

## Properties
total energy = -37.70 eV per cell
SG = Pnma (62)
crystal system = orthorhombic

a = 7.6306 Å, b = 4.7844 Å, c = 8.1954 Å
α = 90.00°, β = 90.00°, γ = 90.00°
With the nearest neighbours (Å) after each atom.
Element x y z (fractional)
1 Nd 0.0026 0.7500 0.2242  6 Zn 3.22-3.54, 6 Tl 3.31-3.40
2 Nd 0.5026 0.7500 0.2758  6 Zn 3.22-3.54, 6 Tl 3.31-3.40
3 Nd 0.4974 0.2500 0.7242  6 Zn 3.22-3.54, 6 Tl 3.31-3.40
4 Nd 0.9974 0.2500 0.7758  6 Zn 3.22-3.54, 6 Tl 3.31-3.40
5 Tl 0.2811 0.2500 0.0873  3 Zn 2.78
6 Tl 0.7811 0.2500 0.4127  3 Zn 2.78
7 Tl 0.2189 0.7500 0.5873  3 Zn 2.78
8 Tl 0.7189 0.7500 0.9127  3 Zn 2.78
9 Zn 0.6962 0.2500 0.0832  3 Tl 2.78
10 Zn 0.1962 0.2500 0.4168  3 Tl 2.78
11 Zn 0.8038 0.7500 0.5832  3 Tl 2.78
12 Zn 0.3038 0.7500 0.9168  3 Tl 2.78

***

# 10
Density functional theory data (GGA-PBE) for a geometry-optimized NdTlZn structure.

## Properties
total energy = -19.03 eV per cell
SG = P6_3mc (186)
crystal system = hexagonal

a = 4.7644 Å, b = 4.7644 Å, c = 7.6331 Å
α = 90.00°, β = 90.00°, γ = 120.00°
With the nearest neighbours (Å) after each atom.
Element x y z (fractional)
1 Nd 0.0000 0.0000 0.2431  3 Zn 3.15, 6 Tl 3.23-3.47
2 Nd 0.0000 0.0000 0.7431  3 Zn 3.15, 6 Tl 3.23-3.47
3 Tl 0.3333 0.6667 0.4655  3 Zn 2.81
4 Tl 0.6667 0.3333 0.9655  3 Zn 2.81
5 Zn 0.3333 0.6667 0.0414  3 Tl 2.81
6 Zn 0.6667 0.3333 0.5414  3 Tl 2.81

***

# 11
Density functional theory data (GGA-PBE) for a geometry-optimized NdTlZn structure.

## Properties
total energy = -19.04 eV per cell
SG = P3m1 (156)
crystal system = trigonal

a = 4.7749 Å, b = 4.7749 Å, c = 7.6445 Å
α = 90.00°, β = 90.00°, γ = 120.00°
With the nearest neighbours (Å) after each atom.
Element x y z (fractional)
1 Nd 0.0000 0.0000 0.3469  3 Zn 3.16, 6 Tl 3.24-3.48
2 Nd 0.0000 0.0000 0.8465  3 Zn 3.15, 6 Tl 3.24-3.48
3 Tl 0.6667 0.3333 0.1237  3 Zn 2.82
4 Tl 0.3333 0.6667 0.6246  3 Zn 2.82
5 Zn 0.3333 0.6667 0.0461  3 Tl 2.82, 3 Nd 3.15
6 Zn 0.6667 0.3333 0.5491  3 Tl 2.82

***

# 12
Density functional theory data (GGA-PBE) for a geometry-optimized NdTlZn structure.

## Properties
total energy = -18.05 eV per cell
SG = P6_3/mmc (194)
crystal system = hexagonal

a = 5.2665 Å, b = 5.2665 Å, c = 6.4291 Å
α = 90.00°, β = 90.00°, γ = 120.00°
With the nearest neighbours (Å) after each atom.
Element x y z (fractional)
1 Nd 0.6667 0.3333 0.2500  5 Tl 3.04-3.21
2 Nd 0.3333 0.6667 0.7500  5 Tl 3.04-3.21
3 Tl 0.3333 0.6667 0.2500  5 Nd 3.04-3.21
4 Tl 0.6667 0.3333 0.7500  5 Nd 3.04-3.21
5 Zn 0.0000 0.0000 0.0000  2 Zn 3.21, 6 Nd 3.44, 6 Tl 3.44
6 Zn 0.0000 0.0000 0.5000  2 Zn 3.21, 6 Nd 3.44, 6 Tl 3.44